The following is a DFT calculation (PBE) of a relaxed structure of KAlReO6.

Results
**V**: 15.32 A^3/atom
**SG**: C2
**E_form (uncorrected)**: -1.8023 eV per atom

Geometry as CIF:
```
data_KAlReO6
_cell_length_a 5.243
_cell_length_b 5.243
_cell_length_c 5.855
_cell_angle_alpha 90.46
_cell_angle_beta 90.46
_cell_angle_gamma 121.01
_symmetry_space_group_name_H-M 'P 1'
_symmetry_Int_Tables_number 1
_symmetry_space_group_name_Hall 'P 1'
loop_
_atom_site_label
_atom_site_fract_x
_atom_site_fract_y
_atom_site_fract_z
K1 0.000 0.000 0.000
Al1 0.681 0.319 0.500
Re1 0.324 0.676 0.500
O1 0.005 0.397 0.315
O2 0.017 0.602 0.693
O3 0.398 0.983 0.307
O4 0.406 0.396 0.656
O5 0.603 0.995 0.685
O6 0.604 0.594 0.344
```